Record 1
Density functional theory data (PBE-GGA) for MgCo2C after structural relaxation.

a b c (Å): 3.836 3.836 3.836
angles (deg): 60.00 60.00 60.00
Atoms (fractional coordinates):
Mg 0.500 0.500 0.500
Co 0.250 0.250 0.250
Co 0.750 0.750 0.750
C 0.000 0.000 0.000

Results
- crystal system = cubic
- polymorph energy (0 for the lowest one) (eV per formula unit) = 3.59
- energy of formation (eV per atom) = 0.98

***

Record 2
Density functional theory data (PBE-GGA) for Cd5SnHg7 after structural relaxation.

a b c (Å): 6.123 8.011 8.011
angles (deg): 83.03 67.53 67.53
Atoms (fractional coordinates):
Cd 0.536 0.955 0.465
Cd 0.044 0.955 0.465
Cd 0.536 0.465 0.955
Cd 0.044 0.465 0.955
Cd 0.775 0.725 0.725
Sn 0.881 0.119 0.119
Hg 0.549 0.451 0.451
Hg 0.172 0.828 0.828
Hg 0.038 0.305 0.619
Hg 0.038 0.619 0.305
Hg 0.306 0.194 0.194
Hg 0.541 0.771 0.147
Hg 0.541 0.147 0.771

Results
- crystal system = orthorhombic
- energy of formation (eV per atom) = 0.05

***

Record 3
Density functional theory data (PBE-GGA) for CsZr2CoSb after structural relaxation.

a b c (Å): 5.113 4.923 5.113
angles (deg): 90.00 90.00 90.00
Atoms (fractional coordinates):
Cs 0.500 0.500 0.500
Sb 0.000 0.500 0.000
Co 0.000 0.000 0.000
Zr 0.000 0.000 0.500
Zr 0.500 0.000 0.000

Results
- uncorrected formation energy (meV per atom) = 499.2
- crystal system = tetragonal

***

Repeat the third record exactly.
Density functional theory data (PBE-GGA) for CsZr2CoSb after structural relaxation.

a b c (Å): 5.113 4.923 5.113
angles (deg): 90.00 90.00 90.00
Atoms (fractional coordinates):
Cs 0.500 0.500 0.500
Sb 0.000 0.500 0.000
Co 0.000 0.000 0.000
Zr 0.000 0.000 0.500
Zr 0.500 0.000 0.000

Results
- uncorrected formation energy (meV per atom) = 499.2
- crystal system = tetragonal